LaMg2ZnPd4: optimized geometry, GGA-PBE.

a b c (Å): 8.904 8.904 8.904
angles (deg): 29.17 29.17 29.17
Fractional positions:
La: 0.000 0.000 0.000
Mg: 0.235 0.235 0.235
Mg: 0.765 0.765 0.765
Zn: 0.500 0.500 0.500
Pd: 0.129 0.129 0.129
Pd: 0.400 0.400 0.400
Pd: 0.600 0.600 0.600
Pd: 0.871 0.871 0.871

energy = -35.43 eV per cell
symmetry = R-3m